# 1
VASP calculation (SCAN) on CoReSb at its PBEsol-relaxed geometry.

Properties
V: 49 Å³/f.u.
Energy: -496.4 eV per cell
Formation energy without anion corrections: 0.52 eV per atom

abc: 5.811 5.811 5.811
angles: 90.00 90.00 90.00
Space group F-43m (No. 216)
Unique sites:
Co: 0.000 0.000 0.000 [4 per cell]
Re: 0.250 0.250 0.250 [4 per cell]
Sb: 0.250 0.250 0.750 [4 per cell]

# 2
VASP calculation (SCAN) on CoRe2Sb at its PBEsol-relaxed geometry.

Properties
V: 60 Å³/f.u.
Energy: -389.6 eV per cell
Formation energy without anion corrections: 0.49 eV per atom

abc: 9.001 2.962 4.570
angles: 90.00 99.90 90.00
Space group C2/m (No. 12)
Unique sites:
Co: 0.000 0.000 0.000 [2 per cell]
Re: 0.233 0.500 0.217 [4 per cell]
Sb: 0.000 0.500 0.500 [2 per cell]

# 3
VASP calculation (SCAN) on Co2ReSb at its PBEsol-relaxed geometry.

Properties
V: 55 Å³/f.u.
Energy: -140.8 eV per cell
Formation energy without anion corrections: 0.55 eV per atom

abc: 2.816 3.495 5.553
angles: 90.00 90.00 90.00
Space group Pmm2 (No. 25)
Unique sites:
Co: 0.000 0.000 0.000 [1 per cell]
Co: 0.500 0.500 0.239 [1 per cell]
Re: 0.000 0.000 0.440 [1 per cell]
Sb: 0.500 0.500 0.770 [1 per cell]

# 4
VASP calculation (SCAN) on CoRe3Sb at its PBEsol-relaxed geometry.

Properties
V: 87 Å³/f.u.
Energy: -259.3 eV per cell
Formation energy without anion corrections: 1.71 eV per atom

abc: 4.424 4.424 4.424
angles: 90.00 90.00 90.00
Space group Pm-3m (No. 221)
Unique sites:
Co: 0.000 0.000 0.000 [1 per cell]
Re: 0.000 0.000 0.500 [3 per cell]
Sb: 0.500 0.500 0.500 [1 per cell]

# 5
VASP calculation (SCAN) on CoRe2Sb at its PBEsol-relaxed geometry.

Properties
V: 60 Å³/f.u.
Energy: -778.7 eV per cell
Formation energy without anion corrections: 0.52 eV per atom

abc: 6.207 6.207 6.207
angles: 90.00 90.00 90.00
Space group F-43m (No. 216)
Unique sites:
Co: 0.000 0.000 0.000 [4 per cell]
Re: 0.000 0.000 0.500 [4 per cell]
Re: 0.250 0.250 0.250 [4 per cell]
Sb: 0.250 0.250 0.750 [4 per cell]

# 6
VASP calculation (SCAN) on Co6ReSb at its PBEsol-relaxed geometry.

Properties
V: 92 Å³/f.u.
Energy: -1683.3 eV per cell
Formation energy without anion corrections: 0.22 eV per atom

abc: 7.165 10.126 10.153
angles: 90.00 90.00 90.00
Space group Cmmm (No. 65)
Unique sites:
Co: 0.000 0.000 0.000 [2 per cell]
Co: 0.000 0.000 0.500 [2 per cell]
Co: 0.000 0.244 0.241 [8 per cell]
Co: 0.000 0.500 0.000 [2 per cell]
Co: 0.000 0.500 0.500 [2 per cell]
Co: 0.241 0.122 0.370 [16 per cell]
Co: 0.243 0.128 0.120 [16 per cell]
Re: 0.000 0.000 0.251 [4 per cell]
Re: 0.000 0.248 0.000 [4 per cell]
Sb: 0.000 0.252 0.500 [4 per cell]
Sb: 0.000 0.500 0.248 [4 per cell]